# BeNbIr2 (PBE-GGA, optimized geometry)
data_BeNbIr2
_chemical_formula_sum 'Be4 Nb4 Ir8'
_symmetry_space_group_name_H-M 'F -4 3 m'
_symmetry_Int_Tables_number 216
_symmetry_space_group_name_Hall 'F -4 2 3'
_cell_length_a 6.1447
_cell_length_b 6.1447
_cell_length_c 6.1447
_cell_angle_alpha 90.00
_cell_angle_beta 90.00
_cell_angle_gamma 90.00
loop_
_atom_site_label
_atom_site_type_symbol
_atom_site_fract_x
_atom_site_fract_y
_atom_site_fract_z
Be1 Be 0.0000 0.0000 0.0000
Nb1 Nb 0.2500 0.2500 0.2500
Ir1 Ir 0.0000 0.0000 0.5000
Ir2 Ir 0.2500 0.2500 0.7500
# Electronic total energy: -7.89 eV/atom